Entry 1:
This record from Alexandria describes an optimized crystal structure of Ge3PAu. The functional is PBE.

Cell: 4.7526 4.7526 4.7526 Å, 90.00 90.00 90.00°
Closest atoms and distances in Å follow each position.
Space group Pm-3m (No. 221)
Asymmetric unit:
Ge 0.0000 0.0000 0.5000 [3 per cell]  2 P 2.38
P 0.0000 0.0000 0.0000 [1 per cell]  6 Ge 2.38
Au 0.5000 0.5000 0.5000 [1 per cell]  12 Ge 3.36

E_form in eV/atom: 0.637
Energy in eV/atom: -3.8709
Magnetic moment in μB per cell: 0.00

---

Entry 2:
This record from Alexandria describes an optimized crystal structure of Ge2PAu. The functional is PBE.

Cell: 4.1533 4.1533 20.2819 Å, 90.00 90.00 120.00°
Closest atoms and distances in Å follow each position.
Space group R-3m (No. 166, hexagonal axes)
Asymmetric unit:
Ge 0.0000 0.0000 0.1101 [6 per cell]  1 P 2.23
P 0.0000 0.0000 0.0000 [3 per cell]  2 Ge 2.23
Au 0.0000 0.0000 0.5000 [3 per cell]  6 Ge 2.66

E_form in eV/atom: 0.422
Energy in eV/atom: -4.0586
Magnetic moment in μB per cell: 0.00

---

Entry 3:
This record from Alexandria describes an optimized crystal structure of Ge2PAu2. The functional is PBE.

Cell: 7.0418 7.0418 3.8948 Å, 90.00 90.00 90.00°
Closest atoms and distances in Å follow each position.
Space group P4/mbm (No. 127)
Asymmetric unit:
Ge 0.1620 0.3380 0.0000 [4 per cell]  6 Au 2.74-2.91
P 0.0000 0.0000 0.5000 [2 per cell]  4 Au 2.70
Au 0.1450 0.6450 0.5000 [4 per cell]  2 P 2.70, 6 Ge 2.74-2.91, 1 Au 2.89

E_form in eV/atom: 0.304
Energy in eV/atom: -3.9355
Magnetic moment in μB per cell: 0.00

---

Entry 4:
This record from Alexandria describes an optimized crystal structure of Ge2P2Au. The functional is PBE.

Cell: 7.2782 7.2782 3.6175 Å, 90.00 90.00 90.00°
Closest atoms and distances in Å follow each position.
Space group P4/mbm (No. 127)
Asymmetric unit:
Ge 0.1411 0.3589 0.0000 [4 per cell]  2 P 2.45
P 0.1986 0.6986 0.5000 [4 per cell]  2 Ge 2.45, 2 Au 2.63
Au 0.0000 0.0000 0.5000 [2 per cell]  4 P 2.63

E_form in eV/atom: 0.307
Energy in eV/atom: -4.3591
Magnetic moment in μB per cell: 0.00

---

Entry 5:
This record from Alexandria describes an optimized crystal structure of GePAu. The functional is PBE.

Cell: 3.5820 3.5820 9.5542 Å, 90.00 90.00 90.00°
Closest atoms and distances in Å follow each position.
Space group I4mm (No. 107)
Asymmetric unit:
Ge 0.0000 0.0000 0.0000 [2 per cell]  1 P 2.38
P 0.0000 0.0000 0.7507 [2 per cell]  1 Ge 2.38, 4 Au 2.60
Au 0.0000 0.0000 0.3132 [2 per cell]  4 P 2.60

E_form in eV/atom: 0.429
Energy in eV/atom: -4.0056
Magnetic moment in μB per cell: 0.00

---

Entry 6:
This record from Alexandria describes an optimized crystal structure of Ge3PAu. The functional is PBE.

Cell: 4.9839 4.9839 4.9839 Å, 90.00 90.00 90.00°
Closest atoms and distances in Å follow each position.
Space group Pm-3m (No. 221)
Asymmetric unit:
Ge 0.0000 0.0000 0.5000 [3 per cell]  2 Au 2.49
P 0.5000 0.5000 0.5000 [1 per cell]  12 Ge 3.52
Au 0.0000 0.0000 0.0000 [1 per cell]  6 Ge 2.49

E_form in eV/atom: 0.859
Energy in eV/atom: -3.6493
Magnetic moment in μB per cell: 0.00